## ZnCr3P3O13 (SCAN)

Data for a crystal of ZnCr3P3O13 relaxed with PBEsol.

**Formation energy from raw total energies**: -2.3888 eV/atom
**SG**: P2_1/m (11)

Cell and atoms, written as extended XYZ:
```
40
Lattice="7.2675 0.0000 0.0000 0.0000 6.1938 0.0000 -1.9063 0.0000 10.1761" Properties=species:S:1:pos:R:3 pbc="T T T"
Zn 0.6417 1.5484 1.4946
Zn 4.7196 4.6453 8.6815
Cr -0.5374 1.5484 8.1353
Cr 1.0762 4.6453 4.5509
Cr 3.6338 0.0000 0.0000
Cr 3.6338 3.0969 0.0000
Cr 4.2850 1.5484 5.6252
Cr 5.8986 4.6453 2.0408
P 1.1770 4.6453 1.2663
P 0.1723 4.6453 7.8222
P 1.1094 1.5484 5.2792
P 4.2518 4.6453 4.8969
P 5.1889 1.5484 2.3539
P 4.1842 1.5484 8.9098
O -1.7777 1.5484 9.7628
O -0.8018 3.4748 8.1149
O -0.8018 5.8158 8.1149
O 0.5667 4.6453 2.6759
O -0.0047 1.5484 6.3439
O 0.9243 0.3399 4.3476
O 0.9243 2.7570 4.3476
O 0.8608 4.6453 6.4890
O 1.9441 3.3142 1.0470
O 1.9441 5.9765 1.0470
O 1.0105 1.5484 9.1993
O 1.2593 4.6453 8.9719
O 2.4606 1.5484 6.0252
O 2.9006 4.6453 4.1509
O 4.1019 1.5484 1.2042
O 4.3507 4.6453 0.9768
O 3.4171 0.2173 9.1291
O 3.4171 2.8796 9.1291
O 4.5004 1.5484 3.6871
O 4.4370 3.4368 5.8285
O 4.4370 5.8539 5.8285
O 5.3659 4.6453 3.8322
O 4.7946 1.5484 7.5002
O 6.1630 0.3779 2.0613
O 6.1630 2.7189 2.0613
O 7.1390 4.6453 0.4133
```

## CrOsN2O (SCAN)

Data for a crystal of CrOsN2O relaxed with PBEsol.

**Formation energy from raw total energies**: 0.8166 eV/atom
**D(E_F)**: 2.8 states/eV per cell
**SG**: P4/mmm (123)

Cell and atoms, written as extended XYZ:
```
5
Lattice="3.7330 0.0000 0.0000 0.0000 3.7330 0.0000 0.0000 0.0000 3.4955" Properties=species:S:1:pos:R:3 pbc="T T T"
Cr 0.0000 0.0000 0.0000
Os 1.8665 1.8665 1.7478
N 0.0000 1.8665 0.0000
N 1.8665 0.0000 0.0000
O 0.0000 0.0000 1.7478
```

## Sr2HgOs (SCAN)

Data for a crystal of Sr2HgOs relaxed with PBEsol.

**Formation energy**: 245 meV/atom
**D(E_F)**: 2.9 states/eV per cell
**SG**: P4/mmm (123)

Cell and atoms, written as extended XYZ:
```
4
Lattice="3.5552 0.0000 0.0000 0.0000 3.5552 0.0000 0.0000 0.0000 8.0496" Properties=species:S:1:pos:R:3 pbc="T T T"
Sr 0.0000 0.0000 1.7557
Sr 0.0000 0.0000 6.2939
Hg 1.7776 1.7776 4.0248
Os 1.7776 1.7776 0.0000
```

## La6BN3O6 (SCAN)

Data for a crystal of La6BN3O6 relaxed with PBEsol.

**Formation energy from raw total energies**: -2.9776 eV/atom
**SG**: Cmcm (63)

Cell and atoms, written as extended XYZ:
```
32
Lattice="1.8167 -12.4019 0.0000 1.8167 12.4019 0.0000 0.0000 0.0000 10.8622" Properties=species:S:1:pos:R:3 pbc="T T T"
La 1.8167 11.2001 8.1466
La 1.8167 7.7580 6.1770
La 1.8167 7.7580 10.1163
La 1.8167 7.4658 2.7155
La 1.8167 1.6752 6.1511
La 1.8167 1.6752 10.1422
La 1.8167 -1.6752 0.7200
La 1.8167 -1.6752 4.7111
La 1.8167 -7.4658 8.1466
La 1.8167 -7.7580 0.7459
La 1.8167 -7.7580 4.6852
La 1.8167 -11.2001 2.7155
B 1.8167 3.4932 2.7155
B 1.8167 -3.4932 8.1466
N 1.8167 4.9634 2.7155
N 1.8167 2.7525 1.4428
N 1.8167 2.7525 3.9883
N 1.8167 -2.7525 6.8739
N 1.8167 -2.7525 9.4194
N 1.8167 -4.9634 8.1466
O 0.0000 0.0000 0.0000
O 0.0000 0.0000 5.4311
O 1.8167 9.3405 1.1578
O 1.8167 9.3405 4.2733
O 1.8167 5.3864 6.4241
O 1.8167 5.3864 9.8692
O 1.8167 0.2964 8.1466
O 1.8167 -0.2964 2.7155
O 1.8167 -5.3864 0.9930
O 1.8167 -5.3864 4.4381
O 1.8167 -9.3405 6.5889
O 1.8167 -9.3405 9.7044
```

## AlFe2Co (SCAN)

Data for a crystal of AlFe2Co relaxed with PBEsol.

**Formation energy**: -219 meV/atom
**D(E_F)**: 2.5 states/eV per cell
**SG**: Pm (6)

Cell and atoms, written as extended XYZ:
```
4
Lattice="2.5097 0.0000 0.0000 0.0000 3.8951 0.0000 -0.9300 0.0000 4.6271" Properties=species:S:1:pos:R:3 pbc="T T T"
Al 0.0000 0.0000 0.0000
Fe 0.0669 1.9475 3.4598
Fe 0.7999 0.0000 2.3071
Co 1.6161 1.9475 1.1752
```

## BaIn2P (SCAN)

Data for a crystal of BaIn2P relaxed with PBEsol.

**Formation energy**: -174 meV/atom
**D(E_F)**: 12.9 states/eV per cell
**SG**: F-43m (216)

Cell and atoms, written as extended XYZ:
```
16
Lattice="7.5446 0.0000 0.0000 0.0000 7.5446 0.0000 0.0000 0.0000 7.5446" Properties=species:S:1:pos:R:3 pbc="T T T"
Ba 0.0000 0.0000 0.0000
Ba 0.0000 3.7723 3.7723
Ba 3.7723 0.0000 3.7723
Ba 3.7723 3.7723 0.0000
In 0.0000 0.0000 3.7723
In 0.0000 3.7723 0.0000
In 1.8861 1.8861 5.6584
In 1.8861 5.6584 1.8861
In 3.7723 0.0000 0.0000
In 3.7723 3.7723 3.7723
In 5.6584 1.8861 1.8861
In 5.6584 5.6584 5.6584
P 1.8861 1.8861 1.8861
P 1.8861 5.6584 5.6584
P 5.6584 1.8861 5.6584
P 5.6584 5.6584 1.8861
```

## TiBiO2 (SCAN)

Data for a crystal of TiBiO2 relaxed with PBEsol.

**Formation energy from raw total energies**: -1.0620 eV/atom
**D(E_F)**: 5.8 states/eV per cell
**SG**: R-3m (166)

Cell and atoms, written as extended XYZ:
```
12
Lattice="3.2344 0.0000 0.0000 -1.6172 2.8011 0.0000 0.0000 0.0000 21.2680" Properties=species:S:1:pos:R:3 pbc="T T T"
Ti 0.0000 0.0000 0.0000
Ti 0.0000 1.8674 14.1787
Ti 1.6172 0.9337 7.0893
Bi 0.0000 0.0000 10.6340
Bi 0.0000 1.8674 3.5447
Bi 1.6172 0.9337 17.7234
O 0.0000 0.0000 1.8392
O 0.0000 0.0000 19.4288
O 0.0000 1.8674 12.3395
O 0.0000 1.8674 16.0179
O 1.6172 0.9337 5.2501
O 1.6172 0.9337 8.9286
```

## TmSnPd (SCAN)

Data for a crystal of TmSnPd relaxed with PBEsol.

**Formation energy**: -1036 meV/atom
**D(E_F)**: 3.3 states/eV per cell
**SG**: P-62m (189)

Cell and atoms, written as extended XYZ:
```
9
Lattice="7.4556 0.0000 0.0000 -3.7278 6.4568 0.0000 0.0000 0.0000 3.8225" Properties=species:S:1:pos:R:3 pbc="T T T"
Tm -1.5056 2.6078 0.0000
Tm 3.0112 0.0000 0.0000
Tm 2.2222 3.8490 0.0000
Sn -2.7491 4.7615 1.9112
Sn 0.9787 1.6952 1.9112
Sn 5.4982 0.0000 1.9112
Pd 0.0000 0.0000 0.0000
Pd 0.0000 4.3045 1.9112
Pd 3.7278 2.1523 1.9112
```

## TiPdBr2 (SCAN)

Data for a crystal of TiPdBr2 relaxed with PBEsol.

**Formation energy from raw total energies**: 0.0265 eV/atom
**Energy relative to the lowest polymorph listed for this composition**: 1.23 eV/f.u.
**D(E_F)**: 8.6 states/eV per cell
**SG**: R-3m (166)

Cell and atoms, written as extended XYZ:
```
12
Lattice="3.4275 0.0000 0.0000 -1.7137 2.9683 0.0000 0.0000 0.0000 25.3634" Properties=species:S:1:pos:R:3 pbc="T T T"
Ti 0.0000 0.0000 0.0000
Ti 0.0000 1.9789 16.9089
Ti 1.7137 0.9894 8.4544
Pd 0.0000 0.0000 12.6817
Pd 0.0000 1.9789 4.2272
Pd 1.7137 0.9894 21.1361
Br 0.0000 0.0000 2.3737
Br 0.0000 0.0000 22.9897
Br 0.0000 1.9789 14.5352
Br 0.0000 1.9789 19.2826
Br 1.7137 0.9894 6.0808
Br 1.7137 0.9894 10.8281
```

## PrAlPd2 (SCAN)

Data for a crystal of PrAlPd2 relaxed with PBEsol.

**Formation energy**: -977 meV/atom
**D(E_F)**: 6.5 states/eV per cell
**SG**: Pnma (62)

Cell and atoms, written as extended XYZ:
```
16
Lattice="7.4599 0.0000 0.0000 0.0000 6.9961 0.0000 0.0000 0.0000 5.8221" Properties=species:S:1:pos:R:3 pbc="T T T"
Pr 0.2438 1.7490 0.8840
Pr 3.4862 5.2471 3.7950
Pr 3.9738 1.7490 2.0271
Pr 7.2161 5.2471 4.9381
Al 0.8792 5.2471 2.0121
Al 2.8508 1.7490 4.9232
Al 4.6092 5.2471 0.8989
Al 6.5807 1.7490 3.8100
Pd 1.3193 0.3719 3.4133
Pd 1.3193 3.1262 3.4133
Pd 2.4107 3.8699 0.5023
Pd 2.4107 6.6243 0.5023
Pd 5.0492 0.3719 5.3198
Pd 5.0492 3.1262 5.3198
Pd 6.1407 3.8699 2.4088
Pd 6.1407 6.6243 2.4088
```

## SrLa2Cl (SCAN)

Data for a crystal of SrLa2Cl relaxed with PBEsol.

**Formation energy from raw total energies**: -0.1889 eV/atom
**Energy relative to the lowest polymorph listed for this composition**: 2.25 eV/f.u.
**D(E_F)**: 8.6 states/eV per cell
**SG**: I-4m2 (119)

Cell and atoms, written as extended XYZ:
```
8
Lattice="4.8047 0.0000 0.0000 0.0000 4.8047 0.0000 0.0000 0.0000 10.9675" Properties=species:S:1:pos:R:3 pbc="T T T"
Sr 0.0000 0.0000 0.0000
Sr 2.4023 2.4023 5.4838
La 0.0000 0.0000 5.4838
La 0.0000 2.4023 8.2256
La 2.4023 0.0000 2.7419
La 2.4023 2.4023 0.0000
Cl 0.0000 2.4023 2.7419
Cl 2.4023 0.0000 8.2256
```

## Y5Mg (SCAN)

Data for a crystal of Y5Mg relaxed with PBEsol.

**Formation energy**: 26 meV/atom
**Energy relative to the lowest polymorph listed for this composition**: 0.22 eV/f.u.
**D(E_F)**: 14.8 states/eV per cell
**SG**: Cmmm (65)

Cell and atoms, written as extended XYZ:
```
12
Lattice="4.8679 0.0000 0.0000 0.0000 14.9004 0.0000 0.0000 0.0000 4.8696" Properties=species:S:1:pos:R:3 pbc="T T T"
Y 0.0000 0.0000 0.0000
Y 0.0000 2.4538 2.4348
Y 0.0000 4.9337 0.0000
Y 0.0000 9.9667 0.0000
Y 0.0000 12.4467 2.4348
Y 2.4340 2.5165 0.0000
Y 2.4340 4.9965 2.4348
Y 2.4340 7.4502 0.0000
Y 2.4340 9.9040 2.4348
Y 2.4340 12.3839 0.0000
Mg 0.0000 7.4502 2.4348
Mg 2.4340 0.0000 2.4348
```

no.,size of the total moment (μB/f.u.)
1,9.0
2,2.8
3,0.0
4,0.0
5,6.4
6,0.0
7,0.0
8,0.0
9,0.0
10,0.0
11,2.9
12,0.7